DFT (GGA-PBE) results for a relaxed structure of GdScNi2.

Summary:
density	7.4	g/cm³
E above lowest polymorph	20	meV/atom

abc: 6.597 6.597 6.597
angles: 90.00 90.00 90.00
Space group Fm-3m (No. 225)
Inequivalent atoms, fractional coordinates:
Gd 0.000 0.000 0.000 x4
Sc 0.000 0.000 0.500 x4
Ni 0.250 0.250 0.250 x8